Entry from Alexandria: a relaxed CsK10Hg3 crystal (PBE).

## Properties
DOS at the Fermi energy	10.60	states/eV/f.u.
ΔH_f (0 K)	-104	meV per atom
total energy	-1.013	eV per atom

abc: 18.8008 18.8008 18.8008
angles: 90.00 90.00 90.00
Last column: nearest neighbours and their distance in Å.
Space group Fm-3m (No. 225)
Unique sites:
Cs  0.2500  0.2500  0.2500 (multiplicity 8)  4 K 4.53
K  0.0000  0.1667  0.1667 (multiplicity 48)  2 Hg 3.67
K  0.1108  0.1108  0.3892 (multiplicity 32)  3 Hg 3.72, 3 K 4.17
Hg  0.0000  0.0000  0.2681 (multiplicity 24)  8 K 3.67-3.72